Compound: TaSe3
Source: Alexandria via LeMat-Bulk
Functional: PBE
Structure: relaxed

## Properties
final energy: -6.24 eV per atom
calculated density: 7.32 g/cm3
DOS(E_F): 0.454 states/eV/f.u.
calculated volume: 379 Å³/cell
formation energy from raw total energies: -0.6619 eV per atom

a = 10.376 Å, b = 3.516 Å, c = 11.074 Å
α = 90.00°, β = 110.20°, γ = 90.00°
Space group P2_1/m (No. 11)
Symmetry-distinct sites (fractional):
Ta (0.044, 0.250, 0.337)
Ta (0.372, 0.250, 0.811)
Se (0.070, 0.750, 0.170)
Se (0.118, 0.250, 0.603)
Se (0.203, 0.750, 0.865)
Se (0.250, 0.750, 0.402)
Se (0.413, 0.750, 0.649)
Se (0.429, 0.250, 0.077)

***

Compound: TaSe3
Source: Alexandria via LeMat-Bulk
Functional: PBE
Structure: relaxed

## Properties
final energy: -5.84 eV per atom
calculated density: 6.80 g/cm3
DOS(E_F): 5.047 states/eV/f.u.
calculated volume: 102 Å³/cell
formation energy from raw total energies: -0.2622 eV per atom

a = 3.3492 Å, b = 3.3492 Å, c = 10.5061 Å
α = 90.00°, β = 90.00°, γ = 120.00°
Space group P-6m2 (No. 187)
Symmetry-distinct sites (fractional):
Ta (0.0000, 0.0000, 0.0000)
Se (0.0000, 0.0000, 0.5000)
Se (0.3333, 0.6667, 0.1644)

***

Compound: Ta5Se
Source: Alexandria via LeMat-Bulk
Functional: PBE
Structure: relaxed

## Properties
ΔE to the lowest computed polymorph: 31 meV/atom
final energy: -10.45 eV per atom
calculated density: 14.92 g/cm3
DOS(E_F): 4.398 states/eV/f.u.
calculated volume: 219 Å³/cell
formation energy from raw total energies: 0.0063 eV per atom

a = 10.348 Å, b = 3.335 Å, c = 6.494 Å
α = 90.00°, β = 102.20°, γ = 90.00°
Space group Cm (No. 8)
Symmetry-distinct sites (fractional):
Ta (0.000, 0.000, 0.000)
Ta (0.021, 0.000, 0.483)
Ta (0.174, 0.500, 0.819)
Ta (0.318, 0.000, 0.156)
Ta (0.358, 0.000, 0.675)
Se (0.206, 0.500, 0.393)

***

Compound: Ta3Se5
Source: Alexandria via LeMat-Bulk
Functional: PBE
Structure: relaxed

## Properties
ΔE to the lowest computed polymorph: 0 meV/atom
final energy: -7.07 eV per atom
calculated density: 9.57 g/cm3
DOS(E_F): 3.962 states/eV/f.u.
calculated volume: 325 Å³/cell
formation energy from raw total energies: -0.4454 eV per atom

a = 6.506 Å, b = 7.132 Å, c = 7.605 Å
α = 82.05°, β = 74.19°, γ = 73.82°
Space group P-1 (No. 2)
Symmetry-distinct sites (fractional):
Ta (0.003, 0.208, 0.063)
Ta (0.161, 0.073, 0.592)
Ta (0.289, 0.594, 0.294)
Se (0.012, 0.626, 0.628)
Se (0.235, 0.969, 0.266)
Se (0.293, 0.450, 0.977)
Se (0.312, 0.961, 0.868)
Se (0.477, 0.278, 0.496)

***

Compound: TaSe2
Source: Alexandria via LeMat-Bulk
Functional: PBE
Structure: relaxed

## Properties
final energy: -7.09 eV per atom
calculated density: 7.67 g/cm3
DOS(E_F): 2.910 states/eV/f.u.
calculated volume: 294 Å³/cell
formation energy from raw total energies: -0.8192 eV per atom

a = 3.471 Å, b = 14.088 Å, c = 6.004 Å
α = 90.00°, β = 90.00°, γ = 90.00°
Space group Fmm2 (No. 42)
Symmetry-distinct sites (fractional):
Ta (0.000, 0.000, 0.000)
Se (0.000, 0.119, 0.333)

***

Compound: TaSe2
Source: Alexandria via LeMat-Bulk
Functional: PBE
Structure: relaxed

## Properties
final energy: -6.96 eV per atom
calculated density: 8.78 g/cm3
DOS(E_F): 1.017 states/eV/f.u.
calculated volume: 256 Å³/cell
formation energy from raw total energies: -0.6904 eV per atom

a = 12.638 Å, b = 3.408 Å, c = 7.088 Å
α = 90.00°, β = 122.86°, γ = 90.00°
Space group Cm (No. 8)
Symmetry-distinct sites (fractional):
Ta (0.000, 0.000, 0.000)
Ta (0.157, 0.500, 0.801)
Se (0.050, 0.500, 0.303)
Se (0.233, 0.000, 0.130)
Se (0.302, 0.000, 0.737)
Se (0.473, 0.500, 0.608)

***

Compound: TaSe2
Source: Alexandria via LeMat-Bulk
Functional: PBE
Structure: relaxed

## Properties
final energy: -6.62 eV per atom
calculated density: 8.51 g/cm3
DOS(E_F): 2.412 states/eV/f.u.
calculated volume: 265 Å³/cell
formation energy from raw total energies: -0.3444 eV per atom

a = 6.419 Å, b = 6.419 Å, c = 6.419 Å
α = 90.00°, β = 90.00°, γ = 90.00°
Space group Pa-3 (No. 205)
Symmetry-distinct sites (fractional):
Ta (0.000, 0.000, 0.000)
Se (0.145, 0.645, 0.855)

***

Compound: TaSe3
Source: Alexandria via LeMat-Bulk
Functional: PBE
Structure: relaxed

## Properties
final energy: -5.76 eV per atom
calculated density: 7.20 g/cm3
DOS(E_F): 4.539 states/eV/f.u.
calculated volume: 96 Å³/cell
formation energy from raw total energies: -0.1861 eV per atom

a = 3.066 Å, b = 3.066 Å, c = 10.250 Å
α = 90.00°, β = 90.00°, γ = 90.00°
Space group P4/mmm (No. 123)
Symmetry-distinct sites (fractional):
Ta (0.000, 0.000, 0.000)
Se (0.000, 0.000, 0.500)
Se (0.500, 0.500, 0.161)

***

Compound: Ta2Se
Source: Alexandria via LeMat-Bulk
Functional: PBE
Structure: relaxed

## Properties
final energy: -8.95 eV per atom
calculated density: 13.72 g/cm3
DOS(E_F): 2.977 states/eV/f.u.
calculated volume: 213 Å³/cell
formation energy from raw total energies: 0.1108 eV per atom

a = 3.404 Å, b = 13.484 Å, c = 4.651 Å
α = 90.00°, β = 90.00°, γ = 90.00°
Space group Cmcm (No. 63)
Symmetry-distinct sites (fractional):
Ta (0.000, 0.074, 0.250)
Ta (0.000, 0.261, 0.750)
Se (0.000, 0.407, 0.250)

***

Compound: Ta3Se
Source: Alexandria via LeMat-Bulk
Functional: PBE
Structure: relaxed

## Properties
ΔE to the lowest computed polymorph: 229 meV/atom
final energy: -9.55 eV per atom
calculated density: 14.17 g/cm3
DOS(E_F): 3.307 states/eV/f.u.
calculated volume: 219 Å³/cell
formation energy from raw total energies: 0.2069 eV per atom

a = 9.0050 Å, b = 9.0050 Å, c = 3.1129 Å
α = 90.00°, β = 90.00°, γ = 120.00°
Space group R-3m (No. 166, hexagonal axes)
Symmetry-distinct sites (fractional):
Ta (0.0000, 0.5000, 0.0000)
Se (0.0000, 0.0000, 0.0000)

***

Compound: Ta3Se
Source: Alexandria via LeMat-Bulk
Functional: PBE
Structure: relaxed

## Properties
ΔE to the lowest computed polymorph: 40 meV/atom
final energy: -9.74 eV per atom
calculated density: 14.25 g/cm3
DOS(E_F): 3.327 states/eV/f.u.
calculated volume: 145 Å³/cell
formation energy from raw total energies: 0.0179 eV per atom

a = 3.424 Å, b = 8.211 Å, c = 5.155 Å
α = 90.00°, β = 90.00°, γ = 90.00°
Space group Imm2 (No. 44)
Symmetry-distinct sites (fractional):
Ta (0.000, 0.000, 0.000)
Ta (0.000, 0.224, 0.545)
Se (0.000, 0.500, 0.890)

***

Compound: TaSe3
Source: Alexandria via LeMat-Bulk
Functional: PBE
Structure: relaxed

## Properties
final energy: -5.18 eV per atom
calculated density: 9.40 g/cm3
DOS(E_F): 2.449 states/eV/f.u.
calculated volume: 74 Å³/cell
formation energy from raw total energies: 0.3956 eV per atom

a = 4.782 Å, b = 4.782 Å, c = 3.229 Å
α = 90.00°, β = 90.00°, γ = 90.00°
Space group P4/mmm (No. 123)
Symmetry-distinct sites (fractional):
Ta (0.000, 0.000, 0.000)
Se (0.000, 0.500, 0.500)
Se (0.500, 0.500, 0.000)